No. 1
Computed, not measured: a relaxed HfZr3H crystal at the PBE-GGA level of DFT.

Unit cell a=5.1972 b=5.7694 c=6.2668 alpha=89.44 beta=90.00 gamma=90.00
Positions (direct):
Hf 0.4177 0.3154 0.7028
Hf 0.9177 0.0374 0.1987
Zr 0.4170 0.3019 0.2022
Zr 0.4206 0.8244 0.9574
Zr 0.9243 0.5268 0.4452
Zr 0.9170 0.0508 0.6993
Zr 0.9205 0.5283 0.9441
Zr 0.4243 0.8260 0.4563
H 0.1985 0.6340 0.6994
H 0.6986 0.7188 0.2021

- space group = No. 4
- total energy (eV for the cell shown) = -78.76
- total moment (μB/f.u.) = 0.000
- polymorph energy (0 for the lowest one) (meV per atom) = 9
- N(E_F) (states/eV/cell) = 10.1

=====

No. 2
Computed, not measured: a relaxed TmPaBe crystal at the PBE-GGA level of DFT.

Unit cell a=3.1449 b=3.1449 c=6.7857 alpha=103.40 beta=103.40 gamma=90.00
Positions (direct):
Be 0.6673 0.6673 0.3347
Pa 0.3080 0.3080 0.6160
Tm 0.0247 0.0247 0.0493

- space group = No. 107
- total energy (eV for the cell shown) = -17.07
- total moment (μB/f.u.) = 0.000
- polymorph energy (0 for the lowest one) (meV per atom) = 11
- N(E_F) (states/eV/cell) = 4.1

=====

No. 3
Computed, not measured: a relaxed TaAgW2 crystal at the PBE-GGA level of DFT.

Unit cell a=2.7668 b=2.7668 c=9.3682 alpha=90.00 beta=90.00 gamma=108.75
Positions (direct):
Ag 0.0000 0.0000 0.4976
W 0.0000 0.0000 0.0045
W 0.5000 0.5000 0.2396
Ta 0.5000 0.5000 0.7583

- space group = No. 35
- total energy (eV for the cell shown) = -39.73
- total moment (μB/f.u.) = 0.000
- polymorph energy (0 for the lowest one) (meV per atom) = 0
- N(E_F) (states/eV/cell) = 2.6

=====

No. 4
Computed, not measured: a relaxed Cs2KNdCl6 crystal at the PBE-GGA level of DFT.

Unit cell a=8.1497 b=8.1497 c=8.1497 alpha=60.00 beta=60.00 gamma=60.00
Positions (direct):
Cs 0.7500 0.7500 0.7500
Cs 0.2500 0.2500 0.2500
K 0.5000 0.5000 0.5000
Nd 0.0000 0.0000 0.0000
Cl 0.2372 0.2372 0.7628
Cl 0.2372 0.7628 0.7628
Cl 0.7628 0.2372 0.7628
Cl 0.7628 0.2372 0.2372
Cl 0.2372 0.7628 0.2372
Cl 0.7628 0.7628 0.2372

- space group = No. 225
- uncorrected formation energy (eV per formula unit) = -21.387
- total energy (eV for the cell shown) = -40.04
- total moment (μB/f.u.) = 0.000
- N(E_F) (states/eV/cell) = 0.0

=====

> Which of these has the highest total energy?

TmPaBe